[1]
Computed, not measured: a relaxed structure of Er2Cd3GaNi2 at the PBE level of DFT.

spin magnetization = 0.003 μB per cell
electronic total energy = -3.634 eV/atom

Unit cell a=9.688 b=4.155 c=7.633 alpha=90.00 beta=91.29 gamma=90.00
Space group Cm (No. 8)
Asymmetric unit:
Er: 0.000 0.000 0.000
Er: 0.134 0.000 0.519
Cd: 0.202 0.500 0.819
Cd: 0.216 0.500 0.215
Cd: 0.426 0.000 0.318
Ga: 0.418 0.000 0.709
Ni: 0.300 0.000 0.998
Ni: 0.355 0.500 0.538

***

[2]
Computed, not measured: a relaxed structure of Al2TcMo at the PBE level of DFT.

spin magnetization = 0.020 μB per cell
E above lowest polymorph = 0.110 eV per atom

Unit cell a=6.172 b=6.172 c=6.172 alpha=90.00 beta=90.00 gamma=90.00
Space group F-43m (No. 216)
Asymmetric unit:
Al: 0.000 0.000 0.000
Al: 0.250 0.250 0.250
Tc: 0.250 0.250 0.750
Mo: 0.000 0.000 0.500

***

[3]
Computed, not measured: a relaxed structure of Li3Ag2As4HO14 at the PBE level of DFT.

electronic total energy = -5.451 eV/atom

Unit cell a=5.042 b=5.210 c=12.618 alpha=90.98 beta=99.09 gamma=115.61
Space group P-1 (No. 2)
Asymmetric unit:
Li: 0.000 0.000 0.000
Li: 0.397 0.209 0.533
Ag: 0.157 0.988 0.258
As: 0.138 0.580 0.624
As: 0.302 0.607 0.876
H: 0.500 0.000 0.000
O: 0.098 0.670 0.758
O: 0.158 0.262 0.640
O: 0.174 0.249 0.883
O: 0.191 0.443 0.445
O: 0.261 0.788 0.981
O: 0.331 0.251 0.136
O: 0.458 0.874 0.606

***

[4]
Computed, not measured: a relaxed structure of Dy3Zn2NiSnIr2 at the PBE level of DFT.

spin magnetization = 0.007 μB per cell
electronic total energy = -5.518 eV/atom

Unit cell a=3.841 b=12.602 c=7.250 alpha=90.00 beta=90.00 gamma=90.00
Space group Amm2 (No. 38)
Asymmetric unit:
Dy: 0.000 0.000 0.000
Dy: 0.000 0.208 0.600
Zn: 0.500 0.125 0.274
Ni: 0.000 0.000 0.392
Sn: 0.500 0.000 0.634
Ir: 0.500 0.165 0.898

***

[5]
Computed, not measured: a relaxed structure of LuFeSnIr at the PBE level of DFT.

spin magnetization = 5.962 μB per cell
E above lowest polymorph = 0.000 eV per atom

Unit cell a=6.514 b=6.514 c=6.514 alpha=90.00 beta=90.00 gamma=90.00
Space group F-43m (No. 216)
Asymmetric unit:
Lu: 0.000 0.000 0.000
Fe: 0.250 0.250 0.750
Sn: 0.000 0.000 0.500
Ir: 0.250 0.250 0.250

***

[6]
Computed, not measured: a relaxed structure of DyOs at the PBE level of DFT.

spin magnetization = 0.003 μB per cell
DFT formation energy = 37.4 kJ/mol of atoms

Unit cell a=3.2452 b=3.2452 c=4.3946 alpha=90.00 beta=90.00 gamma=120.00
Space group P-6m2 (No. 187)
Asymmetric unit:
Dy: 0.0000 0.0000 0.0000
Os: 0.6667 0.3333 0.5000

***

[7]
Computed, not measured: a relaxed structure of Pr3MgAgHg2Pt2 at the PBE level of DFT.

spin magnetization = 0.002 μB per cell
electronic total energy = -4.210 eV/atom

Unit cell a=4.015 b=13.799 c=7.792 alpha=90.00 beta=90.00 gamma=90.00
Space group Amm2 (No. 38)
Asymmetric unit:
Pr: 0.000 0.000 0.000
Pr: 0.000 0.212 0.606
Mg: 0.500 0.000 0.662
Ag: 0.000 0.000 0.420
Hg: 0.500 0.129 0.277
Pt: 0.500 0.159 0.889

***

[8]
Computed, not measured: a relaxed structure of Y3In3AgAu2 at the PBE level of DFT.

spin magnetization = 0.021 μB per cell
electronic total energy = -4.779 eV/atom

Unit cell a=7.8484 b=7.8484 c=3.9247 alpha=90.00 beta=90.00 gamma=120.00
Space group P-62m (No. 189)
Asymmetric unit:
Y: 0.0000 0.4056 0.0000
In: 0.0000 0.7374 0.5000
Ag: 0.0000 0.0000 0.0000
Au: 0.3333 0.6667 0.5000